An optimized crystal structure of Li2InCo. Source: the Alexandria database, functional PBE.

crystal system = orthorhombic
E_tot = -13.17 eV for the cell shown
V = 15.869 Å³ per atom
total moment = 1.41 Bohr magnetons per cell
SG = No. 65
calculated formation energy = 0.50 eV per formula unit

Cell and atoms, written as POSCAR:
```
Li2InCo
1.0
4.993 0.021 0.000
-2.150 4.507 0.000
0.000 0.000 2.815
In Li Co
1 2 1
direct
0.000 0.500 0.500
0.500 0.500 0.000
0.000 0.000 0.000
0.500 0.000 0.500
```

***

An optimized crystal structure of LiIn2Co2. Source: the Alexandria database, functional PBE.

excess energy over the best structure of this formula in the dataset = 0 meV/atom
crystal system = tetragonal
E_tot = -42.54 eV for the cell shown
V = 16.168 Å³ per atom
total moment = 0.48 Bohr magnetons per cell
SG = No. 127
calculated formation energy = 0.33 eV per formula unit

Cell and atoms, written as POSCAR:
```
LiIn2Co2
1.0
7.341 0.000 0.000
0.000 7.341 0.000
0.000 0.000 3.000
In Li Co
4 2 4
direct
0.178 0.678 0.500
0.322 0.178 0.500
0.822 0.322 0.500
0.678 0.822 0.500
0.000 0.000 0.000
0.500 0.500 0.000
0.382 0.882 0.000
0.882 0.618 0.000
0.118 0.382 0.000
0.618 0.118 0.000
```

***

An optimized crystal structure of Li2InCo. Source: the Alexandria database, functional PBE.

crystal system = monoclinic
E_tot = -13.35 eV for the cell shown
V = 15.839 Å³ per atom
total moment = 1.45 Bohr magnetons per cell
SG = No. 8
calculated formation energy = 0.32 eV per formula unit

Cell and atoms, written as POSCAR:
```
Li2InCo
1.0
-4.193 -2.548 1.123
-2.315 -3.013 3.302
-2.766 2.631 2.946
Li Co In
2 1 1
direct
0.003 0.003 0.949
0.766 0.766 0.794
0.492 0.492 0.438
0.239 0.239 0.320
```

***

An optimized crystal structure of Li2InCo. Source: the Alexandria database, functional PBE.

crystal system = monoclinic
E_tot = -13.43 eV for the cell shown
V = 15.499 Å³ per atom
total moment = 1.11 Bohr magnetons per cell
SG = No. 10
calculated formation energy = 0.24 eV per formula unit

Cell and atoms, written as POSCAR:
```
Li2InCo
1.0
-0.131 -4.412 -1.448
2.750 -0.295 0.651
-0.754 -1.431 4.431
Li In Co
2 1 1
direct
0.000 0.475 0.478
0.000 0.025 0.022
0.500 0.750 0.750
0.500 0.250 0.250
```

***

An optimized crystal structure of Li3InCo. Source: the Alexandria database, functional PBE.

excess energy over the best structure of this formula in the dataset = 0 meV/atom
crystal system = cubic
E_tot = -13.31 eV for the cell shown
V = 19.171 Å³ per atom
total moment = 1.31 Bohr magnetons per cell
SG = No. 221
calculated formation energy = 2.28 eV per formula unit

Cell and atoms, written as POSCAR:
```
Li3InCo
1.0
4.577 0.000 0.000
0.000 4.577 0.000
0.000 0.000 4.577
Li In Co
3 1 1
direct
0.500 0.000 0.000
0.000 0.000 0.500
0.000 0.500 0.000
0.500 0.500 0.500
0.000 0.000 0.000
```

***

An optimized crystal structure of LiIn2Co2. Source: the Alexandria database, functional PBE.

excess energy over the best structure of this formula in the dataset = 187 meV/atom
crystal system = tetragonal
E_tot = -20.34 eV for the cell shown
V = 18.493 Å³ per atom
total moment = 2.15 Bohr magnetons per cell
SG = No. 139
calculated formation energy = 1.27 eV per formula unit

Cell and atoms, written as POSCAR:
```
LiIn2Co2
1.0
-3.192 2.512 2.646
-0.664 -3.857 2.860
0.984 0.562 5.094
In Co Li
2 2 1
direct
0.250 0.750 0.500
0.750 0.250 0.500
0.365 0.365 0.270
0.635 0.635 0.730
0.000 0.000 0.000
```

***

An optimized crystal structure of LiIn3Co. Source: the Alexandria database, functional PBE.

excess energy over the best structure of this formula in the dataset = 0 meV/atom
crystal system = cubic
E_tot = -17.27 eV for the cell shown
V = 24.018 Å³ per atom
total moment = 0.00 Bohr magnetons per cell
SG = No. 221
calculated formation energy = -0.04 eV per formula unit

Cell and atoms, written as POSCAR:
```
LiIn3Co
1.0
-1.514 4.530 -1.238
-2.053 -1.808 -4.106
-4.223 -0.745 2.440
In Co Li
3 1 1
direct
0.500 0.000 0.000
0.000 0.000 0.500
0.000 0.500 0.000
0.000 0.000 0.000
0.500 0.500 0.500
```

***

An optimized crystal structure of LiIn2Co. Source: the Alexandria database, functional PBE.

crystal system = tetragonal
E_tot = -14.79 eV for the cell shown
V = 16.790 Å³ per atom
total moment = 0.69 Bohr magnetons per cell
SG = No. 123
calculated formation energy = -0.29 eV per formula unit

Cell and atoms, written as POSCAR:
```
LiIn2Co
1.0
3.248 0.000 0.000
0.000 3.248 0.000
0.000 0.000 6.366
Co In Li
1 2 1
direct
0.500 0.500 0.750
0.000 0.000 0.514
0.000 0.000 0.986
0.500 0.500 0.250
```

***

Q: E_tot of number 6 (LiIn2Co2)?
A: -20.34 eV for the cell shown

***

Q: What is the formula in the third record?
A: Li2InCo

***

Q: The lowest V belongs to which entry?
A: number 4